# 1
AgTe2OsRh: relaxed, PBE.

- M_tot (μB per formula unit) = 3.1
- D(E_F) (states/eV/atom) = 1.427
- energy relative to the elements, uncorrected (eV per atom) = 1.923

a b c (Å): 5.1947 4.9814 5.1947
angles (deg): 90.00 90.00 90.00
Sites, in units of the cell vectors:
Ag  0.0000  0.0000  0.0000
Rh  0.5000  0.5000  0.5000
Os  0.0000  0.5000  0.0000
Te  0.0000  0.0000  0.5000
Te  0.5000  0.0000  0.0000

***

# 2
Zn2AgOsRh: relaxed, PBE.

- M_tot (μB per formula unit) = 2.1
- D(E_F) (states/eV/atom) = 0.650
- E_form (eV per atom) = 1.40

a b c (Å): 4.6991 4.9906 4.6991
angles (deg): 90.00 90.00 90.00
Sites, in units of the cell vectors:
Zn  0.5000  0.0000  0.0000
Zn  0.0000  0.0000  0.5000
Rh  0.5000  0.5000  0.5000
Ag  0.0000  0.5000  0.0000
Os  0.0000  0.0000  0.0000

***

# 3
ZrAgOs2Rh: relaxed, PBE.

- M_tot (μB per formula unit) = 3.0
- D(E_F) (states/eV/atom) = 1.193
- E_form (eV per atom) = 1.96

a b c (Å): 4.8506 4.8506 4.8023
angles (deg): 90.00 90.00 90.00
Sites, in units of the cell vectors:
Zr  0.0000  0.0000  0.0000
Os  0.5000  0.0000  0.0000
Os  0.0000  0.5000  0.0000
Ag  0.5000  0.5000  0.5000
Rh  0.0000  0.0000  0.5000

***

# 4
AgOs2Ru: relaxed, PBE.

- M_tot (μB per formula unit) = 0.0
- offset from the most stable computed form (eV per formula unit) = 0.448
- D(E_F) (states/eV/atom) = 1.393
- E_form (eV per atom) = 0.43

a b c (Å): 2.7463 2.7463 7.9960
angles (deg): 90.00 90.00 90.00
Sites, in units of the cell vectors:
Os  0.5000  0.5000  0.2488
Os  0.0000  0.0000  0.0200
Ag  0.5000  0.5000  0.7493
Ru  0.0000  0.0000  0.4819

***

# 5
AgOsRu2: relaxed, PBE.

- M_tot (μB per formula unit) = 1.4
- offset from the most stable computed form (eV per formula unit) = 1.646
- D(E_F) (states/eV/atom) = 1.457
- E_form (eV per atom) = 0.69

a b c (Å): 3.8600 3.9237 3.9237
angles (deg): 90.00 90.00 90.00
Sites, in units of the cell vectors:
Ru  0.0000  0.5000  0.5000
Ru  0.0000  0.0000  0.0000
Os  0.5000  0.0000  0.5000
Ag  0.5000  0.5000  0.0000

***

# 6
AgOs2Ru: relaxed, PBE.

- M_tot (μB per formula unit) = 0.0
- offset from the most stable computed form (eV per formula unit) = 1.019
- D(E_F) (states/eV/atom) = 1.246
- E_form (eV per atom) = 0.57

a b c (Å): 3.9359 2.7345 6.1968
angles (deg): 63.88 90.00 90.00
Sites, in units of the cell vectors:
Os  0.0000  0.5226  0.4794
Os  0.0000  0.9774  0.0206
Ru  0.5000  0.2500  0.2500
Ag  0.5000  0.7500  0.7500

***

# 7
Ag2OsRu: relaxed, PBE.

- M_tot (μB per formula unit) = 0.0
- offset from the most stable computed form (eV per formula unit) = 1.574
- D(E_F) (states/eV/atom) = 0.893
- E_form (eV per atom) = 0.71

a b c (Å): 5.5566 5.5566 5.5566
angles (deg): 150.72 128.57 60.29
Sites, in units of the cell vectors:
Os  0.4817  0.4817  0.0000
Ag  0.7421  0.2421  0.5000
Ag  0.0074  0.0074  0.0000
Ru  0.2688  0.7688  0.5000

***

# 8
AgOs2Ru: relaxed, PBE.

- M_tot (μB per formula unit) = 0.0
- offset from the most stable computed form (eV per formula unit) = 0.734
- D(E_F) (states/eV/atom) = 1.197
- E_form (eV per atom) = 0.50

a b c (Å): 2.7174 2.7174 8.1336
angles (deg): 90.00 90.00 90.00
Sites, in units of the cell vectors:
Ag  0.5000  0.5000  0.7500
Ru  0.5000  0.5000  0.2500
Os  0.0000  0.0000  0.0191
Os  0.0000  0.0000  0.4809

***

# 9
Ag2OsRu: relaxed, PBE.

- M_tot (μB per formula unit) = 0.0
- offset from the most stable computed form (eV per formula unit) = 1.943
- D(E_F) (states/eV/atom) = 1.373
- E_form (eV per atom) = 0.80

a b c (Å): 4.5139 3.7493 3.7493
angles (deg): 90.00 90.00 90.00
Sites, in units of the cell vectors:
Ru  0.5000  0.0000  0.5000
Ag  0.0000  0.5000  0.5000
Ag  0.0000  0.0000  0.0000
Os  0.5000  0.5000  0.0000

***

# 10
Ag2OsRu: relaxed, PBE.

- M_tot (μB per formula unit) = 0.0
- offset from the most stable computed form (eV per formula unit) = 0.407
- D(E_F) (states/eV/atom) = 0.565
- E_form (eV per atom) = 0.42

a b c (Å): 2.7902 3.8363 5.9866
angles (deg): 90.00 90.00 90.00
Sites, in units of the cell vectors:
Ag  0.0000  0.0000  0.0009
Ag  0.5000  0.5000  0.2498
Os  0.0000  0.0000  0.5367
Ru  0.5000  0.5000  0.7126

***

# 11
AgOs2Ru: relaxed, PBE.

- M_tot (μB per formula unit) = 0.0
- offset from the most stable computed form (eV per formula unit) = 0.000
- D(E_F) (states/eV/atom) = 0.599
- E_form (eV per atom) = 0.31

a b c (Å): 9.3530 9.3530 9.3530
angles (deg): 16.88 16.88 16.88
Sites, in units of the cell vectors:
Ru  0.5057  0.5057  0.5057
Os  0.9941  0.9941  0.9941
Os  0.2499  0.2499  0.2499
Ag  0.7504  0.7504  0.7504

***

# 12
Ag2OsRu: relaxed, PBE.

- M_tot (μB per formula unit) = 0.7
- offset from the most stable computed form (eV per formula unit) = 0.695
- D(E_F) (states/eV/atom) = 0.832
- E_form (eV per atom) = 0.49

a b c (Å): 2.7441 2.7441 9.7974
angles (deg): 90.00 90.00 118.59
Sites, in units of the cell vectors:
Ag  0.0000  0.0000  0.9938
Ag  0.5000  0.5000  0.2550
Os  0.0000  0.0000  0.5161
Ru  0.5000  0.5000  0.7350

***

# 13
AgOsRu2: relaxed, PBE.

- M_tot (μB per formula unit) = 1.4
- offset from the most stable computed form (eV per formula unit) = 2.132
- D(E_F) (states/eV/atom) = 1.302
- E_form (eV per atom) = 0.81

a b c (Å): 2.7599 4.7062 4.6637
angles (deg): 90.00 90.00 90.00
Sites, in units of the cell vectors:
Os  0.0000  0.5000  0.5000
Ru  0.5000  0.5000  0.0000
Ru  0.0000  0.0000  0.0000
Ag  0.5000  0.0000  0.5000

***

# 14
Ag2OsRu: relaxed, PBE.

- M_tot (μB per formula unit) = 0.0
- offset from the most stable computed form (eV per formula unit) = 1.963
- D(E_F) (states/eV/atom) = 1.359
- E_form (eV per atom) = 0.81

a b c (Å): 5.2401 5.2401 5.2401
angles (deg): 138.09 138.09 60.76
Sites, in units of the cell vectors:
Ag  0.0000  0.0000  0.0000
Ag  0.5000  0.5000  0.0000
Os  0.2500  0.7500  0.5000
Ru  0.7500  0.2500  0.5000

***

# 15
AgOsRu2: relaxed, PBE.

- M_tot (μB per formula unit) = 1.6
- offset from the most stable computed form (eV per formula unit) = 1.150
- D(E_F) (states/eV/atom) = 1.350
- E_form (eV per atom) = 0.57

a b c (Å): 2.7058 2.7058 9.5465
angles (deg): 90.00 90.00 118.53
Sites, in units of the cell vectors:
Ru  0.0000  0.0000  0.9860
Ru  0.0000  0.0000  0.5140
Os  0.5000  0.5000  0.7500
Ag  0.5000  0.5000  0.2500

***

# 16
AgOsRu2: relaxed, PBE.

- M_tot (μB per formula unit) = 0.0
- offset from the most stable computed form (eV per formula unit) = 2.474
- D(E_F) (states/eV/atom) = 1.369
- E_form (eV per atom) = 0.90

a b c (Å): 7.1384 7.1384 5.7203
angles (deg): 51.39 51.39 90.00
Sites, in units of the cell vectors:
Ru  0.6730  0.1250  0.2500
Ru  0.8750  0.9230  0.7500
Ru  0.0770  0.6250  0.2500
Ru  0.3750  0.3270  0.7500
Ag  0.5000  0.5000  0.0000
Ag  0.2500  0.7500  0.5000
Os  0.0000  0.0000  0.0000
Os  0.7500  0.2500  0.5000

***

# 17
Ag2OsRu: relaxed, PBE.

- M_tot (μB per formula unit) = 1.9
- offset from the most stable computed form (eV per formula unit) = 2.831
- D(E_F) (states/eV/atom) = 1.286
- E_form (eV per atom) = 1.03

a b c (Å): 4.9187 4.9187 2.6793
angles (deg): 90.00 90.00 90.00
Sites, in units of the cell vectors:
Os  0.5000  0.0000  0.5000
Ru  0.0000  0.5000  0.5000
Ag  0.0000  0.0000  0.0000
Ag  0.5000  0.5000  0.0000

***

# 18
Ag2OsRu: relaxed, PBE.

- M_tot (μB per formula unit) = 1.1
- offset from the most stable computed form (eV per formula unit) = 1.564
- D(E_F) (states/eV/atom) = 1.146
- E_form (eV per atom) = 0.71

a b c (Å): 5.6504 5.6504 5.6504
angles (deg): 151.66 131.10 57.48
Sites, in units of the cell vectors:
Os  0.7500  0.2500  0.5000
Ag  0.5008  0.5008  0.0000
Ag  0.9992  0.9992  0.0000
Ru  0.2500  0.7500  0.5000

***

# 19
AgOsRu2: relaxed, PBE.

- M_tot (μB per formula unit) = 0.0
- offset from the most stable computed form (eV per formula unit) = 1.260
- D(E_F) (states/eV/atom) = 1.521
- E_form (eV per atom) = 0.60

a b c (Å): 4.7820 4.7820 4.7820
angles (deg): 132.12 132.12 70.04
Sites, in units of the cell vectors:
Ru  0.5000  0.5000  0.0000
Ru  0.0000  0.0000  0.0000
Os  0.7500  0.2500  0.5000
Ag  0.2500  0.7500  0.5000

***

# 20
AgOsRu2: relaxed, PBE.

- M_tot (μB per formula unit) = 0.0
- offset from the most stable computed form (eV per formula unit) = 1.326
- D(E_F) (states/eV/atom) = 1.431
- E_form (eV per atom) = 0.61

a b c (Å): 4.8516 4.8516 4.8516
angles (deg): 133.48 133.48 67.90
Sites, in units of the cell vectors:
Ru  0.7500  0.2500  0.5000
Ru  0.0000  0.0000  0.0000
Os  0.2500  0.7500  0.5000
Ag  0.5000  0.5000  0.0000

***

# 21
Ag3OsRu: relaxed, PBE.

- M_tot (μB per formula unit) = 4.7
- offset from the most stable computed form (eV per formula unit) = 0.000
- D(E_F) (states/eV/atom) = 1.108
- E_form (eV per atom) = 2.14

a b c (Å): 4.9964 4.9964 4.9964
angles (deg): 90.00 90.00 90.00
Sites, in units of the cell vectors:
Ag  0.0000  0.5000  0.0000
Ag  0.0000  0.0000  0.5000
Ag  0.5000  0.0000  0.0000
Os  0.0000  0.0000  0.0000
Ru  0.5000  0.5000  0.5000

***

# 22
AgOsRu2: relaxed, PBE.

- M_tot (μB per formula unit) = 0.0
- offset from the most stable computed form (eV per formula unit) = 0.815
- D(E_F) (states/eV/atom) = 1.266
- E_form (eV per atom) = 0.49

a b c (Å): 3.9021 2.7297 6.2442
angles (deg): 64.09 90.00 90.00
Sites, in units of the cell vectors:
Os  0.5000  0.7205  0.7785
Ag  0.0000  0.5021  0.4978
Ru  0.5000  0.2681  0.2325
Ru  0.0000  0.0093  0.9911

***

# 23
Ag2OsRu: relaxed, PBE.

- M_tot (μB per formula unit) = 0.0
- offset from the most stable computed form (eV per formula unit) = 0.000
- D(E_F) (states/eV/atom) = 0.759
- E_form (eV per atom) = 0.32

a b c (Å): 2.8036 2.8036 8.1770
angles (deg): 90.00 90.00 90.00
Sites, in units of the cell vectors:
Ag  0.5000  0.5000  0.2595
Ag  0.0000  0.0000  0.9905
Os  0.0000  0.0000  0.5259
Ru  0.5000  0.5000  0.7241

***

# 24
AgOsRu2: relaxed, PBE.

- M_tot (μB per formula unit) = 0.0
- offset from the most stable computed form (eV per formula unit) = 1.395
- D(E_F) (states/eV/atom) = 0.984
- E_form (eV per atom) = 0.63

a b c (Å): 5.5609 5.5609 5.5609
angles (deg): 151.42 130.43 58.22
Sites, in units of the cell vectors:
Ru  0.4725  0.4725  0.0000
Ru  0.0275  0.0275  0.0000
Os  0.2500  0.7500  0.5000
Ag  0.7500  0.2500  0.5000

***

# 25
AgOsRu2: relaxed, PBE.

- M_tot (μB per formula unit) = 2.0
- offset from the most stable computed form (eV per formula unit) = 2.227
- D(E_F) (states/eV/atom) = 1.201
- E_form (eV per atom) = 0.84

a b c (Å): 4.4094 4.4094 4.4094
angles (deg): 60.00 60.00 60.00
Sites, in units of the cell vectors:
Ru  0.2500  0.2500  0.2500
Ru  0.0000  0.0000  0.0000
Ag  0.5000  0.5000  0.5000
Os  0.7500  0.7500  0.7500

***

# 26
Ag2OsRu: relaxed, PBE.

- M_tot (μB per formula unit) = 0.4
- offset from the most stable computed form (eV per formula unit) = 1.197
- D(E_F) (states/eV/atom) = 0.877
- E_form (eV per atom) = 0.62

a b c (Å): 9.7685 9.7685 9.7685
angles (deg): 16.15 16.15 16.15
Sites, in units of the cell vectors:
Ag  0.4995  0.4995  0.4995
Ag  0.0005  0.0005  0.0005
Ru  0.7500  0.7500  0.7500
Os  0.2500  0.2500  0.2500

***

# 27
Ag2OsRu: relaxed, PBE.

- M_tot (μB per formula unit) = 0.0
- offset from the most stable computed form (eV per formula unit) = 1.880
- D(E_F) (states/eV/atom) = 0.727
- E_form (eV per atom) = 0.79

a b c (Å): 4.4754 4.4754 4.4754
angles (deg): 60.00 60.00 60.00
Sites, in units of the cell vectors:
Os  0.5000  0.5000  0.5000
Ag  0.0000  0.0000  0.0000
Ag  0.7500  0.7500  0.7500
Ru  0.2500  0.2500  0.2500

***

# 28
Ag2OsRu: relaxed, PBE.

- M_tot (μB per formula unit) = 1.1
- offset from the most stable computed form (eV per formula unit) = 1.348
- D(E_F) (states/eV/atom) = 1.290
- E_form (eV per atom) = 0.66

a b c (Å): 5.0494 5.0494 4.7988
angles (deg): 81.34 81.34 31.40
Sites, in units of the cell vectors:
Os  0.7500  0.7500  0.7500
Ru  0.2500  0.2500  0.2500
Ag  0.0007  0.0007  0.0000
Ag  0.4993  0.4993  0.5000

***

# 29
AgOsRu2: relaxed, PBE.

- M_tot (μB per formula unit) = 0.0
- offset from the most stable computed form (eV per formula unit) = 0.000
- D(E_F) (states/eV/atom) = 0.820
- E_form (eV per atom) = 0.28

a b c (Å): 9.3317 9.3317 9.3317
angles (deg): 16.91 16.91 16.91
Sites, in units of the cell vectors:
Ru  0.4940  0.4940  0.4940
Ru  0.0060  0.0060  0.0060
Os  0.7500  0.7500  0.7500
Ag  0.2500  0.2500  0.2500

***

# 30
AgOsRu2: relaxed, PBE.

- M_tot (μB per formula unit) = 0.0
- offset from the most stable computed form (eV per formula unit) = 0.535
- D(E_F) (states/eV/atom) = 0.860
- E_form (eV per atom) = 0.42

a b c (Å): 3.8356 2.7380 6.3161
angles (deg): 64.27 90.00 90.00
Sites, in units of the cell vectors:
Ru  0.0000  0.4766  0.5232
Ru  0.0000  0.0234  0.9768
Os  0.5000  0.7500  0.7500
Ag  0.5000  0.2500  0.2500